(1)
Density functional theory data (PBE-GGA) for an optimized crystal structure of Sr2Ho2Cd15.

Output
- Formation energy: -3.94 kcal/mol of atoms

Cell: 10.1775 10.1775 16.3613 Å, 90.00 90.00 120.00°
Space group R-3m (No. 166, hexagonal axes)
Inequivalent atoms, fractional coordinates:
Sr1 0.0000 0.0000 0.1659 x6
Ho1 0.0000 0.0000 0.4035 x6
Cd1 0.0000 0.2928 0.5000 x18
Cd2 0.0000 0.5000 0.0000 x9
Cd3 0.0060 0.5030 0.6390 x18



(2)
Density functional theory data (PBE-GGA) for an optimized crystal structure of Mn2AsBr.

Output
- E_form (uncorrected): 2.6 eV per formula unit
- ΔE to the lowest computed polymorph: 0.714 eV per atom

Cell: 5.3893 5.3893 10.5002 Å, 90.00 90.00 90.00°
Space group I-42d (No. 122)
Inequivalent atoms, fractional coordinates:
Mn1 0.2461 0.2500 0.1250 x8
As1 0.0000 0.0000 0.0000 x4
Br1 0.0000 0.0000 0.5000 x4



no.,DOS at the Fermi energy (states/eV per atom),total DFT energy (no corrections) (eV/atom)
1,0.45,-1.552
2,1.54,-5.526